Ca6Al2Sb: relaxed, PBE.

a b c (Å): 9.0829 9.0829 9.0829
angles (deg): 105.00 110.96 112.54
Positions (direct):
Ca: 0.7910 0.7580 0.5490
Ca: 0.4500 0.2678 0.1822
Ca: 0.2090 0.2420 0.4510
Ca: 0.0856 0.2678 0.8178
Ca: 0.7910 0.2420 0.0330
Ca: 0.9144 0.7322 0.1822
Ca: 0.2908 0.9635 0.6727
Ca: 0.7092 0.3818 0.6727
Ca: 0.7092 0.0365 0.3273
Ca: 0.5500 0.7322 0.8178
Ca: 0.2908 0.6182 0.3273
Ca: 0.2090 0.7580 0.9670
Al: 0.5000 0.3831 0.8831
Al: 0.6336 0.0000 0.6336
Al: 0.5000 0.6169 0.1169
Al: 0.3664 0.0000 0.3664
Sb: 0.0000 0.0000 0.0000
Sb: 0.0000 0.5000 0.5000

Space group ... Immm (71)

CaAlSb2: relaxed, PBE.

a b c (Å): 3.9577 4.1061 7.2191
angles (deg): 62.92 90.00 90.00
Positions (direct):
Al: 0.5000 0.2500 0.2500
Sb: 0.0000 0.0213 0.0207
Sb: 0.0000 0.4787 0.4793
Ca: 0.5000 0.7500 0.7500

Space group ... P2/m (10)

Number 1: formation energy (no corrections) -3.13 eV/f.u.. Number 2: formation energy (no corrections) -1.16 eV/f.u..